No. 1
This record from the Alexandria database describes crystalline Zn2PtAu at its relaxed geometry. The functional is PBE.

a b c (Å): 4.6727 4.6727 2.9127
angles (deg): 90.00 90.00 105.12
Fractional positions:
Zn (0.0000, 0.5000, 0.0000)
Zn (0.5000, 0.0000, 0.0000)
Pt (0.0000, 0.0000, 0.5000)
Au (0.5000, 0.5000, 0.5000)

Computed properties:
- Symmetry: No. 65

---

No. 2
This record from the Alexandria database describes crystalline Ni2Bi3Pb at its relaxed geometry. The functional is PBE.

a b c (Å): 7.9433 7.9433 11.1109
angles (deg): 122.59 122.59 30.12
Fractional positions:
Ni (0.2272, 0.2272, 0.0507)
Ni (0.2298, 0.2298, 0.5540)
Ni (0.7702, 0.7702, 0.4460)
Ni (0.7728, 0.7728, 0.9493)
Bi (0.1618, 0.1618, 0.2487)
Bi (0.4096, 0.4096, 0.0600)
Bi (0.4109, 0.4109, 0.5629)
Bi (0.5891, 0.5891, 0.4371)
Bi (0.5904, 0.5904, 0.9400)
Bi (0.8382, 0.8382, 0.7513)
Pb (0.1520, 0.1520, 0.7430)
Pb (0.8480, 0.8480, 0.2570)

Computed properties:
- Symmetry: No. 12

---

No. 3
This record from the Alexandria database describes crystalline Dy3Hf at its relaxed geometry. The functional is PBE.

a b c (Å): 6.4830 6.4830 6.4830
angles (deg): 148.86 65.38 124.10
Fractional positions:
Dy (0.0000, 0.0000, 0.0000)
Dy (0.1021, 0.3434, 0.7587)
Dy (0.5847, 0.3434, 0.2413)
Hf (0.5123, 0.0123, 0.5000)

Computed properties:
- Symmetry: No. 44
- Relative energy among the computed polymorphs: 0 meV per atom

---

No. 4
This record from the Alexandria database describes crystalline SrLuMg4 at its relaxed geometry. The functional is PBE.

a b c (Å): 6.1860 6.1860 6.1860
angles (deg): 60.00 60.00 60.00
Fractional positions:
Sr (0.0000, 0.0000, 0.0000)
Lu (0.7500, 0.7500, 0.7500)
Mg (0.3759, 0.3759, 0.3759)
Mg (0.3759, 0.3759, 0.8724)
Mg (0.3759, 0.8724, 0.3759)
Mg (0.8724, 0.3759, 0.3759)

Computed properties:
- Symmetry: No. 216

---

No. 5
This record from the Alexandria database describes crystalline SrCaTa2 at its relaxed geometry. The functional is PBE.

a b c (Å): 6.5395 6.5395 6.5395
angles (deg): 150.19 125.29 63.55
Fractional positions:
Sr (0.0000, 0.0000, 0.0000)
Ca (0.7025, 0.2025, 0.5000)
Ta (0.2674, 0.7674, 0.5000)
Ta (0.4418, 0.4418, 0.0000)

Computed properties:
- Symmetry: No. 44
- Relative energy among the computed polymorphs: 369 meV per atom

---

No. 6
This record from the Alexandria database describes crystalline TbEr4Th2 at its relaxed geometry. The functional is PBE.

a b c (Å): 5.5757 5.5757 16.6480
angles (deg): 90.00 90.00 120.00
Fractional positions:
Tb (0.0000, 0.0000, 0.2500)
Tb (0.0000, 0.0000, 0.7500)
Er (0.0000, 0.0000, 0.0000)
Er (0.0000, 0.0000, 0.5000)
Er (0.3333, 0.6667, 0.1476)
Er (0.3333, 0.6667, 0.3524)
Er (0.3333, 0.6667, 0.7500)
Er (0.6667, 0.3333, 0.2500)
Er (0.6667, 0.3333, 0.6476)
Er (0.6667, 0.3333, 0.8524)
Th (0.3333, 0.6667, 0.5566)
Th (0.3333, 0.6667, 0.9434)
Th (0.6667, 0.3333, 0.0566)
Th (0.6667, 0.3333, 0.4434)

Computed properties:
- Symmetry: No. 194
- Relative energy among the computed polymorphs: 64 meV per atom

---

No. 7
This record from the Alexandria database describes crystalline LiDyCd11 at its relaxed geometry. The functional is PBE.

a b c (Å): 7.5843 7.5843 7.5723
angles (deg): 98.43 98.43 134.63
Fractional positions:
Li (0.0000, 0.0000, 0.0000)
Dy (0.5000, 0.5000, 0.5000)
Cd (0.0000, 0.5000, 0.5000)
Cd (0.0093, 0.8010, 0.2830)
Cd (0.1441, 0.4860, 0.1465)
Cd (0.1990, 0.9907, 0.7170)
Cd (0.4860, 0.1441, 0.1465)
Cd (0.5000, 0.0000, 0.5000)
Cd (0.5000, 0.5000, 0.0000)
Cd (0.5140, 0.8559, 0.8535)
Cd (0.8010, 0.0093, 0.2830)
Cd (0.8559, 0.5140, 0.8535)
Cd (0.9907, 0.1990, 0.7170)

Computed properties:
- Symmetry: No. 12

---

No. 8
This record from the Alexandria database describes crystalline K2ScMn at its relaxed geometry. The functional is PBE.

a b c (Å): 5.9431 5.9431 5.9431
angles (deg): 60.00 60.00 60.00
Fractional positions:
K (0.2500, 0.2500, 0.2500)
K (0.7500, 0.7500, 0.7500)
Sc (0.0000, 0.0000, 0.0000)
Mn (0.5000, 0.5000, 0.5000)

Computed properties:
- Symmetry: No. 225
- Relative energy among the computed polymorphs: 599 meV per atom

---

Calculated formation energy in order - -1.5 -0.2 0.5 -0.1 3.2 1.3 -1.6 4.4 eV/f.u.
Calculated total magnetization in order - 0.0 0.0 0.0 0.0 0.0 0.0 0.0 2.5 Bohr magnetons per cell